1.
SrScPd2: relaxed, GGA-PBE.

Structure (POSCAR):
```
SrScPd2
1.0
0.0000 3.5087 3.5087
3.5087 0.0000 3.5087
3.5087 3.5087 0.0000
Sc Sr Pd
1 1 2
Direct
0.0000 0.0000 0.0000
0.5000 0.5000 0.5000
0.2500 0.2500 0.2500
0.7500 0.7500 0.7500
```

## Properties
magnetic moment	0.0	μB/f.u.
D(E_F)	2.70	states/eV/cell
relative energy among the computed polymorphs	0.171	eV/atom
volume	21.60	A^3/atom
energy relative to the elements	-53.6	kJ/mol of atoms
final energy	-0.1895	hartree per atom


2.
PuCrAu11: relaxed, GGA-PBE.

Structure (POSCAR):
```
PuCrAu11
1.0
5.1784 0.0877 2.1574
2.6359 6.7850 1.0982
0.0158 0.0438 7.2556
Pu Cr Au
1 1 11
Direct
0.0000 0.0000 0.0000
0.5000 0.5000 0.0000
0.2936 0.2159 0.2112
0.7064 0.7841 0.7888
0.4952 0.7841 0.2112
0.5048 0.2159 0.7888
0.3635 0.6499 0.6620
0.6365 0.3501 0.3380
0.9745 0.3501 0.6620
0.0255 0.6499 0.3380
0.0000 0.5000 0.0000
0.5000 0.0000 0.5000
0.0000 0.0000 0.5000
```

## Properties
magnetic moment	1.7	μB/f.u.
D(E_F)	20.20	states/eV/cell
volume	19.46	A^3/atom
energy relative to the elements	-8.5	kJ/mol of atoms
final energy	-0.1729	hartree per atom


3.
Al4CoPtRh2: relaxed, GGA-PBE.

Structure (POSCAR):
```
Al4CoPtRh2
1.0
4.2348 0.0000 0.0000
2.1174 3.6675 0.0000
2.1174 1.2225 6.9135
Al Co Pt Rh
4 1 1 2
Direct
0.3799 0.3799 0.8604
0.8712 0.8712 0.3865
0.1288 0.1288 0.6135
0.6201 0.6201 0.1396
0.5000 0.5000 0.5000
0.0000 0.0000 0.0000
0.7492 0.7492 0.7523
0.2508 0.2508 0.2477
```

## Properties
magnetic moment	1.1	μB/f.u.
D(E_F)	3.07	states/eV/cell
volume	13.42	A^3/atom
energy relative to the elements	-87.5	kJ/mol of atoms
final energy	-0.2300	hartree per atom


4.
K2Se2N: relaxed, GGA-PBE.

Structure (POSCAR):
```
K2Se2N
1.0
3.1762 5.6193 -0.1063
-3.1762 5.6193 -0.1063
0.0000 2.3286 8.4367
K Se N
4 4 2
Direct
0.8062 0.4732 0.8649
0.5268 0.1938 0.6351
0.1938 0.5268 0.1351
0.4732 0.8062 0.3649
0.6732 0.0120 0.0160
0.9880 0.3268 0.4840
0.3268 0.9880 0.9840
0.0120 0.6732 0.5160
0.3358 0.6642 0.7500
0.6642 0.3358 0.2500
```

## Properties
magnetic moment	3.0	μB/f.u.
D(E_F)	2.22	states/eV/cell
relative energy among the computed polymorphs	0.540	eV/atom
volume	30.27	A^3/atom
raw formation energy	0.208	eV per atom
final energy	-0.1209	hartree per atom


5.
CaPmZnHg: relaxed, GGA-PBE.

Structure (POSCAR):
```
CaPmZnHg
1.0
5.2784 0.0000 0.0000
2.6392 4.5712 0.0000
2.6392 1.5237 4.3098
Zn Ca Hg Pm
1 1 1 1
Direct
0.0000 0.0000 0.0000
0.2500 0.2500 0.2500
0.5000 0.5000 0.5000
0.7500 0.7500 0.7500
```

## Properties
magnetic moment	0.0	μB/f.u.
D(E_F)	3.55	states/eV/cell
relative energy among the computed polymorphs	0.000	eV/atom
volume	26.00	A^3/atom
energy relative to the elements	-39.9	kJ/mol of atoms
final energy	-0.0917	hartree per atom


6.
TmSi2TcMo: relaxed, GGA-PBE.

Structure (POSCAR):
```
TmSi2TcMo
1.0
-2.9257 -1.4963 -2.2924
0.8090 -3.6779 1.3682
-2.4322 3.3028 4.4496
Tm Si Tc Mo
1 2 1 1
Direct
0.0000 0.0000 0.0000
0.6118 0.6118 0.2236
0.3882 0.3882 0.7764
0.7500 0.2500 0.5000
0.2500 0.7500 0.5000
```

## Properties
magnetic moment	0.2	μB/f.u.
D(E_F)	3.92	states/eV/cell
volume	17.17	A^3/atom
raw formation energy	-0.533	eV per atom
final energy	-0.2880	hartree per atom


7.
Li2TlIn: relaxed, GGA-PBE.

Structure (POSCAR):
```
Li2TlIn
1.0
4.8613 0.0000 0.0000
2.4306 4.2100 0.0000
2.4306 1.4033 3.9692
Tl Li In
1 2 1
Direct
0.7500 0.7500 0.7500
0.0000 0.0000 0.0000
0.5000 0.5000 0.5000
0.2500 0.2500 0.2500
```

## Properties
magnetic moment	0.0	μB/f.u.
D(E_F)	1.49	states/eV/cell
volume	20.31	A^3/atom
energy relative to the elements	-23.6	kJ/mol of atoms
final energy	-0.0911	hartree per atom


8.
SrHo2Cd2: relaxed, GGA-PBE.

Structure (POSCAR):
```
SrHo2Cd2
1.0
3.7553 0.0000 0.0000
0.0000 3.8493 0.7293
0.0000 -0.0316 10.6895
Sr Ho Cd
1 2 2
Direct
0.0000 0.0000 0.0000
0.0000 0.1815 0.6369
0.0000 0.8185 0.3631
0.5000 0.3942 0.2116
0.5000 0.6058 0.7884
```

## Properties
magnetic moment	0.0	μB/f.u.
D(E_F)	5.08	states/eV/cell
volume	30.92	A^3/atom
energy relative to the elements	-10.1	kJ/mol of atoms
final energy	-0.0970	hartree per atom


9.
LiCeSe2O8: relaxed, GGA-PBE.

Structure (POSCAR):
```
LiCeSe2O8
1.0
5.1582 0.0000 0.0000
0.0000 5.1582 0.0000
-2.5791 -2.5791 5.8229
Li Ce Se O
1 1 2 8
Direct
0.7500 0.2500 0.5000
0.0000 0.0000 0.0000
0.5000 0.5000 0.0000
0.2500 0.7500 0.5000
0.7073 0.8205 0.1532
0.4458 0.3327 0.1532
0.5687 0.6960 0.6578
0.0891 0.9618 0.6578
0.0382 0.4313 0.3422
0.3040 0.9109 0.3422
0.1795 0.5542 0.8468
0.6673 0.2927 0.8468
```

## Properties
magnetic moment	1.0	μB/f.u.
D(E_F)	7.52	states/eV/cell
volume	12.91	A^3/atom
raw formation energy	-1.439	eV per atom
final energy	-0.2197	hartree per atom


10.
Cu5Sn3Te12: relaxed, GGA-PBE.

Structure (POSCAR):
```
Cu5Sn3Te12
1.0
14.4738 0.0000 0.0000
-4.8246 13.6461 0.0000
-4.8246 -6.8230 11.8178
Sn Cu Te
12 20 48
Direct
0.7500 0.3750 0.1250
0.8750 0.7500 0.1250
0.3750 0.7500 0.6250
0.2500 0.1250 0.3750
0.8750 0.1250 0.2500
0.3750 0.6250 0.2500
0.6250 0.3750 0.7500
0.1250 0.8750 0.7500
0.7500 0.8750 0.6250
0.6250 0.2500 0.3750
0.1250 0.2500 0.8750
0.2500 0.6250 0.8750
0.1250 0.3750 0.2500
0.0000 0.5000 0.0000
0.0000 0.0000 0.0000
0.3750 0.2500 0.1250
0.5000 0.0000 0.5000
0.5000 0.5000 0.0000
0.1250 0.7500 0.3750
0.7500 0.1250 0.8750
0.7500 0.6250 0.3750
0.3750 0.1250 0.7500
0.6250 0.8750 0.2500
0.5000 0.5000 0.5000
0.5000 0.0000 0.0000
0.0000 0.0000 0.5000
0.2500 0.3750 0.6250
0.2500 0.8750 0.1250
0.0000 0.5000 0.5000
0.8750 0.2500 0.6250
0.6250 0.7500 0.8750
0.8750 0.6250 0.7500
0.7042 0.1216 0.0278
0.3236 0.5278 0.4062
0.9722 0.3784 0.2958
0.5278 0.2042 0.1216
0.5826 0.7042 0.6764
0.9722 0.5938 0.1764
0.3236 0.7958 0.4174
0.0938 0.9174 0.1216
0.5938 0.9722 0.6764
0.7042 0.5826 0.1764
0.7958 0.4722 0.3784
0.8236 0.9062 0.0278
0.1216 0.7042 0.5278
0.3784 0.4062 0.0826
0.0826 0.9062 0.3784
0.4174 0.1216 0.5938
0.0826 0.1764 0.2042
0.4722 0.6764 0.0938
0.8236 0.9174 0.2958
0.1216 0.4174 0.0938
0.3784 0.9722 0.7958
0.5938 0.6216 0.4174
0.9062 0.8236 0.5278
0.7958 0.3236 0.9174
0.4062 0.3784 0.5826
0.0938 0.1764 0.4722
0.2042 0.6764 0.0826
0.1764 0.0826 0.7042
0.6216 0.0278 0.2042
0.8784 0.5826 0.9062
0.5278 0.3236 0.9062
0.5826 0.8784 0.4062
0.9174 0.8236 0.7958
0.9174 0.0938 0.6216
0.8784 0.2958 0.4722
0.1764 0.0938 0.9722
0.6216 0.5938 0.9174
0.4062 0.0278 0.3236
0.2958 0.4174 0.8236
0.2042 0.5278 0.6216
0.9062 0.0826 0.8784
0.6764 0.2042 0.5826
0.4722 0.7958 0.8784
0.0278 0.4062 0.8236
0.4174 0.2958 0.3236
0.0278 0.6216 0.7042
0.6764 0.4722 0.5938
0.2958 0.8784 0.9722
```

## Properties
magnetic moment	0.0	μB/f.u.
D(E_F)	93.13	states/eV/cell
volume	29.18	A^3/atom
raw formation energy	0.086	eV per atom
final energy	-0.1258	hartree per atom


11.
Zn2CdRe: relaxed, GGA-PBE.

Structure (POSCAR):
```
Zn2CdRe
1.0
4.5087 0.0000 0.0000
2.2544 3.9047 0.0000
2.2544 1.3016 3.6814
Cd Re Zn
1 1 2
Direct
0.5000 0.5000 0.5000
0.7500 0.7500 0.7500
0.0000 0.0000 0.0000
0.2500 0.2500 0.2500
```

## Properties
magnetic moment	0.5	μB/f.u.
D(E_F)	4.58	states/eV/cell
volume	16.20	A^3/atom
energy relative to the elements	62.6	kJ/mol of atoms
final energy	-0.1223	hartree per atom


12.
Zr3TcW: relaxed, GGA-PBE.

Structure (POSCAR):
```
Zr3TcW
1.0
4.9097 0.0000 0.0000
0.0000 4.9097 0.0000
0.0000 0.0000 4.9097
Zr Tc W
3 1 1
Direct
0.0000 0.5000 0.0000
0.0000 0.0000 0.5000
0.5000 0.0000 0.0000
0.0000 0.0000 0.0000
0.5000 0.5000 0.5000
```

## Properties
magnetic moment	1.0	μB/f.u.
D(E_F)	7.35	states/eV/cell
relative energy among the computed polymorphs	0.000	eV/atom
volume	23.67	A^3/atom
energy relative to the elements	101.9	kJ/mol of atoms
final energy	-0.3211	hartree per atom


Look up the final energy of the tenth one.
-0.1258 hartree per atom


Which of these has the lowest final energy?
Zr3TcW


What is the D(E_F) in the fourth record?
2.22 states/eV/cell


Which value of volume does entry 1 give?
21.60 A^3/atom